# 1
The following is a DFT calculation (GGA-PBE) of a geometry-optimized NaCo2SiSb structure.

Unit cell a=4.725 b=5.366 c=4.725 alpha=90.00 beta=90.00 gamma=90.00
Each line ends with the local moment (μB).
Atoms (fractional coordinates):
Sb  0.000  0.000  0.000  -0.02
Si  0.500  0.500  0.500  -0.16
Co  0.000  0.000  0.500  1.34
Co  0.500  0.000  0.000  1.54
Na  0.000  0.500  0.000  0.00

## Properties
The value obtained for the uncorrected formation energy is 1.13 eV/atom. The value obtained for the total magnetization is 2.28 Bohr magnetons per cell. The symmetry is P4/mmm (123). The value obtained for the raw total energy is -19.42 eV for the cell shown.


# 2
The following is a DFT calculation (GGA-PBE) of a geometry-optimized NaCo2SbW structure.

Unit cell a=4.477 b=5.256 c=4.477 alpha=90.00 beta=90.00 gamma=90.00
Each line ends with the local moment (μB).
Atoms (fractional coordinates):
Sb  0.500  0.500  0.500  0.01
Co  0.000  0.000  0.500  0.17
Co  0.500  0.000  0.000  0.11
W  0.000  0.000  0.000  0.35
Na  0.000  0.500  0.000  0.02

## Properties
The value obtained for the uncorrected formation energy is 1.46 eV/atom. The value obtained for the total magnetization is 0.75 Bohr magnetons per cell. The symmetry is P4/mmm (123). The value obtained for the raw total energy is -25.29 eV for the cell shown.


# 3
The following is a DFT calculation (GGA-PBE) of a geometry-optimized NaCoSb2W structure.

Unit cell a=4.984 b=4.711 c=4.984 alpha=90.00 beta=90.00 gamma=90.00
Each line ends with the local moment (μB).
Atoms (fractional coordinates):
Sb  0.000  0.000  0.500  -0.03
Sb  0.500  0.000  0.000  -0.03
Co  0.000  0.000  0.000  -0.20
W  0.000  0.500  0.000  1.87
Na  0.500  0.500  0.500  0.00

## Properties
The value obtained for the uncorrected formation energy is 0.85 eV/atom. The value obtained for the total magnetization is 2.19 Bohr magnetons per cell. The symmetry is P4/mmm (123). The value obtained for the raw total energy is -25.36 eV for the cell shown.